Compound: Tm5CdSn2
Source: Alexandria via LeMat-Bulk
Functional: GGA-PBE
Structure: relaxed

The formation energy from the elements is -0.29 eV/atom. The total energy comes out at -4.202 eV per atom. Its density of states at the Fermi level is 14.80 states/eV per cell. The magnetization comes out at 0.0 μB/f.u.

Cell: 6.0937 6.0937 17.4138 Å, 90.00 90.00 137.41°
Last column: nearest neighbours and their distance in Å.
Element x y z (fractional)
Tm  0.0440  0.9560  0.5986  1 Cd 2.94
Tm  0.0440  0.9560  0.9014  1 Cd 2.94
Tm  0.3473  0.6527  0.5353  3 Sn 3.11-3.39, 6 Tm 3.33-3.44
Tm  0.3473  0.6527  0.9647  3 Sn 3.11-3.39, 6 Tm 3.33-3.44
Tm  0.4401  0.5599  0.7500  3 Cd 3.19-3.33, 4 Sn 3.52
Tm  0.5599  0.4401  0.2500  3 Cd 3.19-3.33, 4 Sn 3.52
Tm  0.6527  0.3473  0.0353  3 Sn 3.11-3.39, 6 Tm 3.33-3.44
Tm  0.6527  0.3473  0.4647  3 Sn 3.11-3.39, 6 Tm 3.33-3.44
Tm  0.9560  0.0440  0.0986  1 Cd 2.94
Tm  0.9560  0.0440  0.4014  1 Cd 2.94
Cd  0.1592  0.8408  0.7500  3 Tm 2.94-3.19, 4 Sn 3.07
Cd  0.8408  0.1592  0.2500  3 Tm 2.94-3.19, 4 Sn 3.07
Sn  0.2417  0.7583  0.1467  2 Cd 3.07, 6 Tm 3.11-3.39
Sn  0.2417  0.7583  0.3533  2 Cd 3.07, 6 Tm 3.11-3.39
Sn  0.7583  0.2417  0.6467  2 Cd 3.07, 6 Tm 3.11-3.39
Sn  0.7583  0.2417  0.8533  2 Cd 3.07, 6 Tm 3.11-3.39


Compound: MnAgOs4
Source: Alexandria via LeMat-Bulk
Functional: GGA-PBE
Structure: relaxed

The formation energy from the elements is 0.76 eV/atom. The total energy comes out at -8.732 eV per atom. Its density of states at the Fermi level is 8.39 states/eV per cell. The magnetization comes out at 2.7 μB/f.u.

Cell: 5.1674 5.1674 5.1674 Å, 60.00 60.00 60.00°
Last column: nearest neighbours and their distance in Å.
Element x y z (fractional)
Mn  0.0000  0.0000  0.0000  12 Os 3.03, 4 Ag 3.16
Ag  0.2500  0.2500  0.2500  12 Os 3.03, 4 Mn 3.16
Os  0.1245  0.6252  0.6252  6 Os 2.58-2.59
Os  0.6252  0.1245  0.6252  6 Os 2.58-2.59
Os  0.6252  0.6252  0.1245  6 Os 2.58-2.59
Os  0.6252  0.6252  0.6252  6 Os 2.58-2.59


Compound: Al2TcW
Source: Alexandria via LeMat-Bulk
Functional: GGA-PBE
Structure: relaxed

The formation energy from the elements is -0.17 eV/atom. The total energy comes out at -7.867 eV per atom. Its density of states at the Fermi level is 3.72 states/eV per cell. The magnetization comes out at 0.0 μB/f.u. The polymorph energy (0 for the lowest one) comes out at 0.145 eV/atom.

Cell: 4.9445 4.5057 5.4373 Å, 90.00 95.00 90.00°
Last column: nearest neighbours and their distance in Å.
Element x y z (fractional)
Al  0.0000  0.0000  0.0000  2 Tc 2.61-2.82, 3 Al 2.67-2.83, 4 W 2.67-2.75
Al  0.0234  0.0000  0.5118  3 Tc 2.65-2.71, 6 Al 2.67-2.79, 2 W 2.96
Al  0.5081  0.0000  0.2838  4 Tc 2.67-2.77, 3 Al 2.73-2.83, 2 W 2.80
Al  0.7863  0.5000  0.6890  4 Tc 2.67-2.91, 4 W 2.72-2.86, 4 Al 2.75-2.96
Tc  0.2903  0.5000  0.4503  3 W 2.61-2.73, 6 Al 2.65-2.91
Tc  0.5040  0.0000  0.7922  7 Al 2.61-2.82, 2 W 2.63
W  0.3096  0.5000  0.9527  4 Tc 2.63-2.73, 2 W 2.74-2.85, 4 Al 2.75-2.86
W  0.8201  0.5000  0.1931  1 Tc 2.61, 6 Al 2.67-2.80, 2 W 2.74-2.85


Compound: Sr3ZrCl
Source: Alexandria via LeMat-Bulk
Functional: GGA-PBE
Structure: relaxed

The total energy comes out at -2.643 eV per atom. Its density of states at the Fermi level is 7.15 states/eV per cell. The formation energy without anion corrections comes out at 445 meV per atom. The magnetization comes out at 3.1 μB/f.u.

Cell: 6.4732 6.4732 6.4732 Å, 90.00 90.00 90.00°
Last column: nearest neighbours and their distance in Å.
Element x y z (fractional)
Sr  0.0000  0.0000  0.5000  2 Zr 3.24
Sr  0.0000  0.5000  0.0000  2 Zr 3.24
Sr  0.5000  0.0000  0.0000  2 Zr 3.24
Zr  0.0000  0.0000  0.0000  6 Sr 3.24
Cl  0.5000  0.5000  0.5000  12 Sr 4.58


Compound: BeSnI2
Source: Alexandria via LeMat-Bulk
Functional: GGA-PBE
Structure: relaxed

The total energy comes out at -2.400 eV per atom. Its density of states at the Fermi level is 3.49 states/eV per cell. The formation energy without anion corrections comes out at 307 meV per atom. The magnetization comes out at 0.0 μB/f.u. The polymorph energy (0 for the lowest one) comes out at 0.000 eV/atom.

Cell: 7.3225 7.3225 7.3225 Å, 120.72 120.72 88.76°
Last column: nearest neighbours and their distance in Å.
Element x y z (fractional)
Be  0.0000  0.0000  0.0000  4 I 2.44
Be  0.7500  0.2500  0.5000  4 I 2.44
Sn  0.2500  0.7500  0.5000  4 I 3.45
Sn  0.5000  0.5000  0.0000  4 I 3.45
I  0.0120  0.6250  0.8870  2 Be 2.44
I  0.3750  0.2620  0.3870  2 Be 2.44
I  0.7380  0.1250  0.1130  2 Be 2.44
I  0.8750  0.9880  0.6130  2 Be 2.44


Compound: Ac2NdSe2O2
Source: Alexandria via LeMat-Bulk
Functional: GGA-PBE
Structure: relaxed

The total energy comes out at -6.625 eV per atom. Its density of states at the Fermi level is 2.45 states/eV per cell. The formation energy without anion corrections comes out at -2358 meV per atom. The magnetization comes out at 0.0 μB/f.u.

Cell: 8.7571 8.7571 8.7571 Å, 149.84 149.84 43.18°
Last column: nearest neighbours and their distance in Å.
Element x y z (fractional)
Ac  0.1294  0.1294  0.0000  4 O 3.10, 5 Se 3.11-3.32
Ac  0.8706  0.8706  0.0000  4 O 3.10, 5 Se 3.11-3.32
Nd  0.5000  0.5000  0.0000  4 O 2.28
Se  0.3203  0.3203  0.0000  1 Nd 2.93, 1 Ac 3.11
Se  0.6797  0.6797  0.0000  1 Nd 2.93, 1 Ac 3.11
O  0.0000  0.5000  0.5000  2 Nd 2.28
O  0.5000  0.0000  0.5000  2 Nd 2.28


Compound: NaLiSmTl
Source: Alexandria via LeMat-Bulk
Functional: GGA-PBE
Structure: relaxed

The formation energy from the elements is -0.12 eV/atom. The total energy comes out at -2.704 eV per atom. Its density of states at the Fermi level is 1.69 states/eV per cell. The magnetization comes out at 0.0 μB/f.u.

Cell: 5.2281 5.2281 5.2281 Å, 60.00 60.00 60.00°
Last column: nearest neighbours and their distance in Å.
Element x y z (fractional)
Na  0.0000  0.0000  0.0000  4 Li 3.20, 4 Sm 3.20
Li  0.7500  0.7500  0.7500  4 Tl 3.20, 4 Na 3.20
Sm  0.2500  0.2500  0.2500  4 Tl 3.20, 4 Na 3.20
Tl  0.5000  0.5000  0.5000  4 Li 3.20, 4 Sm 3.20


Compound: NaTlTe3
Source: Alexandria via LeMat-Bulk
Functional: GGA-PBE
Structure: relaxed

The total energy comes out at -2.447 eV per atom. Its density of states at the Fermi level is 5.62 states/eV per cell. The formation energy without anion corrections comes out at 176 meV per atom. The magnetization comes out at 0.0 μB/f.u. The polymorph energy (0 for the lowest one) comes out at 0.472 eV/atom.

Cell: 5.8536 5.8536 5.8536 Å, 90.00 90.00 90.00°
Last column: nearest neighbours and their distance in Å.
Element x y z (fractional)
Na  0.0000  0.0000  0.0000  12 Te 4.14
Tl  0.5000  0.5000  0.5000  6 Te 2.93
Te  0.0000  0.5000  0.5000  2 Tl 2.93
Te  0.5000  0.0000  0.5000  2 Tl 2.93
Te  0.5000  0.5000  0.0000  2 Tl 2.93


Compound: TmNpInO6
Source: Alexandria via LeMat-Bulk
Functional: GGA-PBE
Structure: relaxed

The total energy comes out at -8.142 eV per atom. Its density of states at the Fermi level is 2.65 states/eV per cell. The formation energy without anion corrections comes out at -2597 meV per atom. The magnetization comes out at 1.0 μB/f.u.

Cell: 5.6448 5.6448 9.1156 Å, 90.00 90.00 120.00°
Last column: nearest neighbours and their distance in Å.
Element x y z (fractional)
Tm  0.3333  0.6667  0.2500  6 O 2.24
Tm  0.6667  0.3333  0.7500  6 O 2.24
Np  0.3333  0.6667  0.7500  6 O 2.08
Np  0.6667  0.3333  0.2500  6 O 2.08
In  0.0000  0.0000  0.0000  6 O 2.26
In  0.0000  0.0000  0.5000  6 O 2.26
O  0.0211  0.3496  0.6311  1 Np 2.08, 1 Tm 2.24, 1 In 2.26
O  0.0211  0.6715  0.8689  1 Np 2.08, 1 Tm 2.24, 1 In 2.26
O  0.3285  0.3496  0.8689  1 Np 2.08, 1 Tm 2.24, 1 In 2.26
O  0.3285  0.9789  0.6311  1 Np 2.08, 1 Tm 2.24, 1 In 2.26
O  0.3496  0.0211  0.1311  1 Np 2.08, 1 Tm 2.24, 1 In 2.26
O  0.3496  0.3285  0.3689  1 Np 2.08, 1 Tm 2.24, 1 In 2.26
O  0.6504  0.6715  0.6311  1 Np 2.08, 1 Tm 2.24, 1 In 2.26
O  0.6504  0.9789  0.8689  1 Np 2.08, 1 Tm 2.24, 1 In 2.26
O  0.6715  0.0211  0.3689  1 Np 2.08, 1 Tm 2.24, 1 In 2.26
O  0.6715  0.6504  0.1311  1 Np 2.08, 1 Tm 2.24, 1 In 2.26
O  0.9789  0.3285  0.1311  1 Np 2.08, 1 Tm 2.24, 1 In 2.26
O  0.9789  0.6504  0.3689  1 Np 2.08, 1 Tm 2.24, 1 In 2.26


Compound: Na2Sr3NpO6
Source: Alexandria via LeMat-Bulk
Functional: GGA-PBE
Structure: relaxed

The total energy comes out at -6.678 eV per atom. Its density of states at the Fermi level is 10.81 states/eV per cell. The formation energy without anion corrections comes out at -2480 meV per atom. The magnetization comes out at 3.0 μB/f.u.

Cell: 6.1981 6.1981 6.1004 Å, 99.72 99.72 119.85°
Last column: nearest neighbours and their distance in Å.
Element x y z (fractional)
Na  0.1661  0.8339  0.0000  6 O 2.58
Na  0.8339  0.1661  0.0000  6 O 2.58
Sr  0.0000  0.0000  0.5000  4 O 2.47
Sr  0.3263  0.6737  0.5000  6 O 2.48-2.67
Sr  0.6737  0.3263  0.5000  6 O 2.48-2.67
Np  0.5000  0.5000  0.0000  6 O 2.26-2.31
O  0.1202  0.4198  0.7601  1 Np 2.31, 2 Sr 2.47-2.48, 2 Na 2.58
O  0.2864  0.2864  0.2349  1 Np 2.26
O  0.4198  0.1202  0.7601  1 Np 2.31, 2 Sr 2.47-2.48, 2 Na 2.58
O  0.5802  0.8798  0.2399  1 Np 2.31, 2 Sr 2.47-2.48, 2 Na 2.58
O  0.7136  0.7136  0.7651  1 Np 2.26
O  0.8798  0.5802  0.2399  1 Np 2.31, 2 Sr 2.47-2.48, 2 Na 2.58


Compound: Ag2Hg2As
Source: Alexandria via LeMat-Bulk
Functional: GGA-PBE
Structure: relaxed

The formation energy from the elements is 0.26 eV/atom. The total energy comes out at -1.928 eV per atom. Its density of states at the Fermi level is 6.88 states/eV per cell. The magnetization comes out at 0.0 μB/f.u. The polymorph energy (0 for the lowest one) comes out at 0.019 eV/atom.

Cell: 8.0426 8.0426 3.2860 Å, 90.00 90.00 90.00°
Last column: nearest neighbours and their distance in Å.
Element x y z (fractional)
Ag  0.1314  0.3686  0.0000  6 Hg 2.81-2.93, 1 Ag 2.99, 2 As 3.15
Ag  0.3686  0.8686  0.0000  6 Hg 2.81-2.93, 1 Ag 2.99, 2 As 3.15
Ag  0.6314  0.1314  0.0000  6 Hg 2.81-2.93, 1 Ag 2.99, 2 As 3.15
Ag  0.8686  0.6314  0.0000  6 Hg 2.81-2.93, 1 Ag 2.99, 2 As 3.15
Hg  0.1678  0.6678  0.5000  6 Ag 2.81-2.93
Hg  0.3322  0.1678  0.5000  6 Ag 2.81-2.93
Hg  0.6678  0.8322  0.5000  6 Ag 2.81-2.93
Hg  0.8322  0.3322  0.5000  6 Ag 2.81-2.93
As  0.0000  0.0000  0.0000  4 Ag 3.15, 2 As 3.29, 8 Hg 3.41
As  0.5000  0.5000  0.0000  4 Ag 3.15, 2 As 3.29, 8 Hg 3.41


Compound: PmMg3Sn3
Source: Alexandria via LeMat-Bulk
Functional: GGA-PBE
Structure: relaxed

The formation energy from the elements is -0.19 eV/atom. The total energy comes out at -3.270 eV per atom. Its density of states at the Fermi level is 7.52 states/eV per cell. The magnetization comes out at 0.0 μB/f.u. The polymorph energy (0 for the lowest one) comes out at 0.000 eV/atom.

Cell: 6.9547 6.9547 7.6836 Å, 90.00 90.00 93.35°
Last column: nearest neighbours and their distance in Å.
Element x y z (fractional)
Pm  0.2358  0.2358  0.0000  6 Sn 3.26-3.30, 4 Mg 3.43-3.53
Pm  0.7642  0.7642  0.0000  6 Sn 3.26-3.30, 4 Mg 3.43-3.53
Mg  0.2123  0.7877  0.5000  4 Sn 3.01, 2 Mg 3.06
Mg  0.2283  0.2283  0.5000  2 Mg 3.06, 6 Sn 3.11
Mg  0.2558  0.7442  0.0000  6 Sn 3.15-3.26, 2 Pm 3.43
Mg  0.7442  0.2558  0.0000  6 Sn 3.15-3.26, 2 Pm 3.43
Mg  0.7717  0.7717  0.5000  2 Mg 3.06, 6 Sn 3.11
Mg  0.7877  0.2123  0.5000  4 Sn 3.01, 2 Mg 3.06
Sn  0.0000  0.5000  0.2668  6 Mg 3.01-3.15, 2 Pm 3.26
Sn  0.0000  0.5000  0.7332  6 Mg 3.01-3.15, 2 Pm 3.26
Sn  0.5000  0.0000  0.2668  6 Mg 3.01-3.15, 2 Pm 3.26
Sn  0.5000  0.0000  0.7332  6 Mg 3.01-3.15, 2 Pm 3.26
Sn  0.5000  0.5000  0.2776  6 Mg 3.11-3.38, 2 Pm 3.30, 5 Sn 3.42-3.48
Sn  0.5000  0.5000  0.7224  6 Mg 3.11-3.38, 2 Pm 3.30, 5 Sn 3.42-3.48


Compound: POs
Source: Alexandria via LeMat-Bulk
Functional: GGA-PBE
Structure: relaxed

The formation energy from the elements is -0.09 eV/atom. The total energy comes out at -8.414 eV per atom. Its density of states at the Fermi level is 2.00 states/eV per cell. The magnetization comes out at 0.0 μB/f.u.

Cell: 2.9684 4.3990 4.1069 Å, 90.00 90.00 90.00°
Last column: nearest neighbours and their distance in Å.
Element x y z (fractional)
P  0.2500  0.2500  0.1279  6 Os 2.40-2.57
P  0.7500  0.7500  0.8721  6 Os 2.40-2.57
Os  0.2500  0.7500  0.3619  6 P 2.40-2.57
Os  0.7500  0.2500  0.6381  6 P 2.40-2.57


Compound: TlTe2W
Source: Alexandria via LeMat-Bulk
Functional: GGA-PBE
Structure: relaxed

The total energy comes out at -4.970 eV per atom. Its density of states at the Fermi level is 3.69 states/eV per cell. The formation energy without anion corrections comes out at 431 meV per atom. The magnetization comes out at 0.0 μB/f.u. The polymorph energy (0 for the lowest one) comes out at 0.325 eV/atom.

Cell: 7.3013 7.3013 7.3013 Å, 154.30 138.14 49.77°
Last column: nearest neighbours and their distance in Å.
Element x y z (fractional)
Tl  0.0000  0.0000  0.0000  4 W 3.07, 2 Tl 3.25, 4 Te 3.43
Te  0.3314  0.8314  0.5000  2 W 2.76
Te  0.6686  0.1686  0.5000  2 W 2.76
W  0.5000  0.5000  0.0000  4 Te 2.76, 4 Tl 3.07


Compound: Ti2Be2Co5Ge
Source: Alexandria via LeMat-Bulk
Functional: GGA-PBE
Structure: relaxed

The formation energy from the elements is -0.41 eV/atom. The total energy comes out at -6.746 eV per atom. Its density of states at the Fermi level is 8.92 states/eV per cell. The magnetization comes out at 0.0 μB/f.u.

Cell: 8.5074 8.5074 3.0712 Å, 90.00 90.00 90.00°
Last column: nearest neighbours and their distance in Å.
Element x y z (fractional)
Ti  0.1753  0.3247  0.0000  3 Be 2.46-2.55, 6 Co 2.61-2.68
Ti  0.3247  0.8247  0.0000  3 Be 2.46-2.55, 6 Co 2.61-2.68
Ti  0.6753  0.1753  0.0000  3 Be 2.46-2.55, 6 Co 2.61-2.68
Ti  0.8247  0.6753  0.0000  3 Be 2.46-2.55, 6 Co 2.61-2.68
Be  0.1199  0.6199  0.0000  6 Co 2.11-2.14
Be  0.3801  0.1199  0.0000  6 Co 2.11-2.14
Be  0.6199  0.8801  0.0000  6 Co 2.11-2.14
Be  0.8801  0.3801  0.0000  6 Co 2.11-2.14
Co  0.0000  0.5000  0.5000  4 Be 2.11
Co  0.0698  0.7886  0.5000  2 Be 2.14
Co  0.2114  0.0698  0.5000  2 Be 2.14
Co  0.2886  0.5698  0.5000  2 Be 2.14
Co  0.4302  0.2886  0.5000  2 Be 2.14
Co  0.5000  0.0000  0.5000  4 Be 2.11
Co  0.5698  0.7114  0.5000  2 Be 2.14
Co  0.7114  0.4302  0.5000  2 Be 2.14
Co  0.7886  0.9302  0.5000  2 Be 2.14
Co  0.9302  0.2114  0.5000  2 Be 2.14
Ge  0.0000  0.0000  0.0000  8 Co 2.44
Ge  0.5000  0.5000  0.0000  8 Co 2.44